Density functional theory data (GGA-PBE) for an optimized crystal structure of RuRh3W.

Geometry as POSCAR:
```
RuRh3W
1.0
4.657 0.000 0.000
0.000 4.657 0.000
0.000 0.000 4.657
Rh W Ru
3 1 1
direct
0.000 0.500 0.000
0.000 0.000 0.500
0.500 0.000 0.000
0.000 0.000 0.000
0.500 0.500 0.500
```

Computed properties:
Its theoretical density is 9.8 Mg/m³. Its final energy is -7.3243 eV per atom. As for the energy above the most stable polymorph in this dataset: 325 meV/atom. Its energy of formation from the pure elements is 1532 meV/atom.